Material: Dy2PaWC4
Method: DFT, PBE-GGA
State: relaxed

a = 3.4544 Å, b = 11.8922 Å, c = 12.3635 Å
α = 90.00°, β = 90.00°, γ = 90.00°
Space group Cmcm (No. 63)
Asymmetric unit:
Dy: 0.0000 0.1309 0.0369 [8 per cell]
Pa: 0.0000 0.3930 0.2500 [4 per cell]
W: 0.0000 0.3435 0.7500 [4 per cell]
C: 0.0000 0.0528 0.2500 [4 per cell]
C: 0.0000 0.2314 0.6352 [8 per cell]
C: 0.0000 0.5000 0.0000 [4 per cell]

Material: DyZr2PaC4
Method: DFT, PBE-GGA
State: relaxed

a = 5.9847 Å, b = 3.4565 Å, c = 6.0594 Å
α = 90.00°, β = 109.21°, γ = 90.00°
Space group P2/m (No. 10)
Asymmetric unit:
Dy: 0.0000 0.0000 0.0000 [1 per cell]
Zr: 0.0000 0.5000 0.5000 [1 per cell]
Zr: 0.5000 0.0000 0.5000 [1 per cell]
Pa: 0.5000 0.5000 0.0000 [1 per cell]
C: 0.2530 0.0000 0.7380 [2 per cell]
C: 0.2632 0.5000 0.2628 [2 per cell]

Material: Dy7Pb2C2
Method: DFT, PBE-GGA
State: relaxed

a = 3.5103 Å, b = 14.9169 Å, c = 10.4687 Å
α = 90.00°, β = 90.00°, γ = 90.00°
Space group Imm2 (No. 44)
Asymmetric unit:
Dy: 0.0000 0.0000 0.0000 [2 per cell]
Dy: 0.0000 0.1419 0.5590 [4 per cell]
Dy: 0.0000 0.3101 0.3754 [4 per cell]
Dy: 0.0000 0.3411 0.6814 [4 per cell]
Pb: 0.0000 0.0000 0.3213 [2 per cell]
Pb: 0.0000 0.5000 0.2337 [2 per cell]
C: 0.0000 0.2360 0.0462 [4 per cell]

Material: Dy5Pb4C
Method: DFT, PBE-GGA
State: relaxed

a = 9.5078 Å, b = 9.5078 Å, c = 6.1139 Å
α = 90.00°, β = 90.00°, γ = 90.00°
Space group I4 (No. 79)
Asymmetric unit:
Dy: 0.0000 0.0000 0.0000 [2 per cell]
Dy: 0.1106 0.7716 0.5526 [8 per cell]
Pb: 0.0607 0.6648 0.0562 [8 per cell]
C: 0.0000 0.0000 0.6046 [2 per cell]

Material: Dy4PbC
Method: DFT, PBE-GGA
State: relaxed

a = 6.1001 Å, b = 9.6277 Å, c = 6.1055 Å
α = 90.00°, β = 102.44°, γ = 90.00°
Space group P2_1/m (No. 11)
Asymmetric unit:
Dy: 0.1220 0.2500 0.2237 [2 per cell]
Dy: 0.2483 0.0500 0.7474 [4 per cell]
Dy: 0.2757 0.7500 0.3784 [2 per cell]
Pb: 0.4141 0.7500 0.9146 [2 per cell]
C: 0.0890 0.2500 0.5881 [2 per cell]

Material: Dy2PbC
Method: DFT, PBE-GGA
State: relaxed

a = 3.6447 Å, b = 3.6447 Å, c = 24.1337 Å
α = 90.00°, β = 90.00°, γ = 120.00°
Space group R-3m (No. 166, hexagonal axes)
Asymmetric unit:
Dy: 0.0000 0.0000 0.2222 [6 per cell]
Pb: 0.0000 0.0000 0.0000 [3 per cell]
C: 0.0000 0.0000 0.5000 [3 per cell]

Material: Dy4Pb2C
Method: DFT, PBE-GGA
State: relaxed

a = 6.5453 Å, b = 6.7874 Å, c = 9.2937 Å
α = 90.00°, β = 109.62°, γ = 90.00°
Space group P2_1/m (No. 11)
Asymmetric unit:
Dy: 0.1756 0.2500 0.0570 [2 per cell]
Dy: 0.2442 0.0017 0.7287 [4 per cell]
Dy: 0.2727 0.7500 0.3456 [2 per cell]
Pb: 0.2305 0.2500 0.4181 [2 per cell]
Pb: 0.3443 0.7500 0.0323 [2 per cell]
C: 0.0791 0.2500 0.8003 [2 per cell]

Material: Dy8Pb2C
Method: DFT, PBE-GGA
State: relaxed

a = 18.0862 Å, b = 5.4906 Å, c = 6.4544 Å
α = 90.00°, β = 110.58°, γ = 90.00°
Space group C2/m (No. 12)
Asymmetric unit:
Dy: 0.0063 0.0000 0.2467 [4 per cell]
Dy: 0.0825 0.5000 0.7783 [4 per cell]
Dy: 0.1218 0.5000 0.3083 [4 per cell]
Dy: 0.2111 0.0000 0.1501 [4 per cell]
Pb: 0.1796 0.0000 0.6362 [4 per cell]
C: 0.0000 0.5000 0.0000 [2 per cell]

Material: Dy8Pb2C3
Method: DFT, PBE-GGA
State: relaxed

a = 15.2564 Å, b = 7.2653 Å, c = 6.4169 Å
α = 90.00°, β = 106.82°, γ = 90.00°
Space group C2/m (No. 12)
Asymmetric unit:
Dy: 0.0886 0.2409 0.3881 [8 per cell]
Dy: 0.0934 0.0000 0.8990 [4 per cell]
Dy: 0.1008 0.5000 0.9410 [4 per cell]
Pb: 0.2449 0.5000 0.6683 [4 per cell]
C: 0.0000 0.0000 0.5000 [2 per cell]
C: 0.0000 0.2540 0.0000 [4 per cell]

Material: Dy5Pb2C
Method: DFT, PBE-GGA
State: relaxed

a = 4.9356 Å, b = 16.3923 Å, c = 12.7245 Å
α = 90.00°, β = 90.00°, γ = 90.00°
Space group Cmcm (No. 63)
Asymmetric unit:
Dy: 0.0000 0.0904 0.1147 [8 per cell]
Dy: 0.0000 0.2893 0.7500 [4 per cell]
Dy: 0.0000 0.2903 0.0792 [8 per cell]
Pb: 0.0000 0.1043 0.6293 [8 per cell]
C: 0.0000 0.1858 0.2500 [4 per cell]

Material: Dy4PbC2
Method: DFT, PBE-GGA
State: relaxed

a = 3.6132 Å, b = 3.6132 Å, c = 43.0948 Å
α = 90.00°, β = 90.00°, γ = 120.00°
Space group R-3m (No. 166, hexagonal axes)
Asymmetric unit:
Dy: 0.0000 0.0000 0.1242 [6 per cell]
Dy: 0.0000 0.0000 0.2713 [6 per cell]
Pb: 0.0000 0.0000 0.0000 [3 per cell]
C: 0.0000 0.0000 0.4274 [6 per cell]

Material: Dy4Pb3C
Method: DFT, PBE-GGA
State: relaxed

a = 10.1049 Å, b = 12.0082 Å, c = 3.6558 Å
α = 90.00°, β = 90.00°, γ = 90.00°
Space group Cmmm (No. 65)
Asymmetric unit:
Dy: 0.0000 0.2110 0.0000 [4 per cell]
Dy: 0.1683 0.0000 0.5000 [4 per cell]
Pb: 0.0000 0.5000 0.0000 [2 per cell]
Pb: 0.2500 0.2500 0.5000 [4 per cell]
C: 0.0000 0.0000 0.0000 [2 per cell]

Number 1: electronic total energy -8.616 eV/atom, ΔE_f -37 kJ/mol of formula units, N(E_F) 14.07 states/eV/cell. Number 2: electronic total energy -9.062 eV/atom, ΔE_f -425 kJ/mol of formula units, N(E_F) 1.35 states/eV/cell. Number 3: electronic total energy -5.470 eV/atom, ΔE_f -201 kJ/mol of formula units, N(E_F) 15.17 states/eV/cell. Number 4: electronic total energy -5.031 eV/atom, ΔE_f -313 kJ/mol of formula units, N(E_F) 11.92 states/eV/cell. Number 5: electronic total energy -5.349 eV/atom, ΔE_f -73 kJ/mol of formula units, N(E_F) 7.15 states/eV/cell. Number 6: electronic total energy -6.024 eV/atom, ΔE_f -189 kJ/mol of formula units, N(E_F) 3.45 states/eV/cell. Number 7: electronic total energy -5.396 eV/atom, ΔE_f -263 kJ/mol of formula units, N(E_F) 2.85 states/eV/cell. Number 8: electronic total energy -4.962 eV/atom, ΔE_f -109 kJ/mol of formula units, N(E_F) 24.22 states/eV/cell. Number 9: electronic total energy -5.821 eV/atom, ΔE_f -363 kJ/mol of formula units, N(E_F) 17.97 states/eV/cell. Number 10: electronic total energy -4.950 eV/atom, ΔE_f 5 kJ/mol of formula units, N(E_F) 27.05 states/eV/cell. Number 11: electronic total energy -6.186 eV/atom, ΔE_f -264 kJ/mol of formula units, N(E_F) 10.48 states/eV/cell. Number 12: electronic total energy -5.161 eV/atom, ΔE_f -244 kJ/mol of formula units, N(E_F) 11.29 states/eV/cell.